The following is a DFT calculation (PBE) of a relaxed structure of Cr2Pb.

```
Cr2Pb
1.0
5.2371 0.0000 0.0000
-2.6185 4.5354 0.0000
0.0000 0.0000 8.4708
Cr Pb
8 4
Cartesian
0.0000 0.0000 0.0000
0.0000 0.0000 4.2354
0.0000 1.5319 2.1177
-1.2918 3.7695 2.1177
1.3267 0.7660 6.3531
1.2918 3.7695 2.1177
3.9104 0.7660 6.3531
2.6185 3.0035 6.3531
0.0000 3.0236 4.7694
0.0000 3.0236 7.9369
2.6185 1.5118 0.5340
2.6185 1.5118 3.7014
```

Results
Polymorph energy (0 for the lowest one) = 0.81 eV per formula unit
Size of the total moment = 0.414 μB per atom
D(E_F) = 1.25 states/eV per atom
Calculated density = 10.3 g cm⁻³
Energy = -6.95 eV/atom
Calculated formation energy = 702 meV per atom

---

The following is a DFT calculation (PBE) of a relaxed structure of ScOsRu2.

```
ScOsRu2
1.0
1.4052 0.8113 8.9983
-1.4052 0.8113 8.9983
0.0000 -1.6225 8.9983
Sc Os Ru
1 1 2
Cartesian
0.0000 0.0000 0.0000
0.0000 0.0000 20.3895
0.0000 0.0000 6.7026
0.0000 0.0000 13.5196
```

Results
Polymorph energy (0 for the lowest one) = 1.03 eV per formula unit
Size of the total moment = 0.000 μB per atom
D(E_F) = 1.38 states/eV per atom
Calculated density = 11.8 g cm⁻³
Energy = -8.84 eV/atom
Calculated formation energy = 191 meV per atom

---

The following is a DFT calculation (PBE) of a relaxed structure of KU2HgO7.

```
KU2HgO7
1.0
4.2520 0.0000 0.0000
0.0000 4.2520 0.0000
0.0000 0.0000 11.0691
K U Hg O
1 2 1 7
Cartesian
0.0000 0.0000 0.0000
2.1260 2.1260 2.1502
2.1260 2.1260 8.9189
0.0000 0.0000 5.5346
0.0000 2.1260 2.0106
0.0000 2.1260 9.0586
2.1260 0.0000 2.0106
2.1260 0.0000 9.0586
2.1260 2.1260 0.0000
2.1260 2.1260 4.0529
2.1260 2.1260 7.0163
```

Results
Size of the total moment = 0.077 μB per atom
D(E_F) = 0.44 states/eV per atom
ΔE_f (raw) = -2.4118 eV per atom
Calculated density = 6.9 g cm⁻³
Energy = -7.75 eV/atom

---

The following is a DFT calculation (PBE) of a relaxed structure of Er7AlS5.

```
Er7AlS5
1.0
6.4317 -1.9263 0.0000
6.4317 1.9263 0.0000
-12.8578 0.0000 23.1382
Er Al S
14 2 10
Cartesian
-4.0953 0.0000 7.5163
-8.7545 0.0000 19.0857
1.7620 0.0000 0.8209
-5.2291 0.0000 14.1850
-0.2398 0.0000 5.7852
-1.7629 0.0000 12.3899
-5.2214 0.0000 20.5210
5.2270 0.0000 2.6172
1.7685 0.0000 10.7483
0.2454 0.0000 17.3530
5.2348 0.0000 8.9532
-1.7564 0.0000 22.3173
8.7602 0.0000 4.0525
4.1009 0.0000 15.6219
-3.9276 0.0000 17.3564
3.9332 0.0000 5.7818
-6.4289 0.0000 11.5691
-9.9520 0.0000 21.5021
0.6060 0.0000 3.2286
-2.9048 0.0000 9.9322
0.6074 0.0000 8.3398
6.4317 0.0000 0.0000
-0.6018 0.0000 14.7984
2.9104 0.0000 13.2060
-0.6004 0.0000 19.9096
9.9576 0.0000 1.6361
```

Results
Size of the total moment = 0.000 μB per atom
D(E_F) = 0.48 states/eV per atom
ΔE_f (raw) = -1.5870 eV per atom
Calculated density = 7.9 g cm⁻³
Energy = -5.92 eV/atom